LaHo2Mg3AgHg2 | PBE | optimized geometry

Lattice parameters (Å, degrees): 4.2179 7.8748 7.8748 120.35 90.00 90.00
Fractional coordinates of all 9 atoms:
La 0.5000 0.4113 0.4113
Mg 0.0000 0.9967 0.2427
Mg 0.0000 0.2427 0.9967
Mg 0.0000 0.7584 0.7584
Ho 0.5000 0.5920 0.0006
Ho 0.5000 0.0006 0.5920
Hg 0.0000 0.3301 0.6747
Hg 0.0000 0.6747 0.3301
Ag 0.5000 0.9935 0.9935

***

Nd2HoMg3AgHg2 | PBE | optimized geometry

Lattice parameters (Å, degrees): 4.2370 7.8901 7.8901 119.95 90.00 90.00
Fractional coordinates of all 9 atoms:
Ag 0.0000 0.0051 0.0051
Nd 0.0000 0.9993 0.5899
Nd 0.0000 0.5899 0.9993
Mg 0.5000 0.0035 0.2434
Mg 0.5000 0.2434 0.0035
Mg 0.5000 0.7561 0.7561
Hg 0.5000 0.6590 0.3358
Hg 0.5000 0.3358 0.6590
Ho 0.0000 0.4079 0.4079

***

NdHo2Mg3AgHg2 | PBE | optimized geometry

Lattice parameters (Å, degrees): 4.1901 7.8188 7.8188 120.23 90.00 90.00
Fractional coordinates of all 9 atoms:
Ag 0.0000 0.9945 0.9945
Ho 0.0000 0.0006 0.5918
Ho 0.0000 0.5918 0.0006
Hg 0.5000 0.6730 0.3307
Hg 0.5000 0.3307 0.6730
Mg 0.5000 0.2433 0.9977
Mg 0.5000 0.7572 0.7572
Mg 0.5000 0.9977 0.2433
Nd 0.0000 0.4112 0.4112

***

PrHo2Mg3AgHg2 | PBE | optimized geometry

Lattice parameters (Å, degrees): 4.1991 7.8375 7.8375 120.30 90.00 90.00
Fractional coordinates of all 9 atoms:
Hg 0.0000 0.6744 0.3302
Hg 0.0000 0.3302 0.6744
Mg 0.0000 0.2429 0.9968
Mg 0.0000 0.9968 0.2429
Mg 0.0000 0.7582 0.7582
Ag 0.5000 0.9936 0.9936
Ho 0.5000 0.0006 0.5920
Ho 0.5000 0.5920 0.0006
Pr 0.5000 0.4112 0.4112

***

The VASP energy results, record by record, are as follows: -2.819; -2.824; -2.804; -2.802 eV/atom.